(1)
The following is a DFT calculation (GGA-PBE) of crystalline ZnPt2Cl at its relaxed geometry.

Properties
ΔE_f (raw)	0.15	eV per atom
DFT total energy	-29.195	eV per cell
offset from the most stable computed form	236	meV/atom
crystal system	tetragonal
symmetry	I-42d
total magnetization	0.000	μB per atom

a b c (Å): 3.925 3.925 9.439
angles (deg): 78.00 78.00 90.00
Atoms (fractional coordinates):
1 Pt 0.634 0.125 0.250
2 Pt 0.116 0.625 0.250
3 Pt 0.375 0.366 0.750
4 Pt 0.875 0.884 0.750
5 Zn 0.750 0.250 0.500
6 Zn 0.000 0.000 0.000
7 Cl 0.250 0.750 0.500
8 Cl 0.500 0.500 0.000



(2)
The following is a DFT calculation (GGA-PBE) of crystalline LiMgScCl6 at its relaxed geometry.

Properties
ΔE_f (raw)	-1.94	eV per atom
DFT total energy	-76.706	eV per cell
crystal system	trigonal
symmetry	P-31c
total magnetization	0.000	μB per atom

a b c (Å): 6.378 6.378 11.803
angles (deg): 90.00 90.00 120.00
Atoms (fractional coordinates):
1 Cl 0.348 0.998 0.631
2 Cl 0.002 0.349 0.631
3 Cl 0.998 0.348 0.131
4 Cl 0.002 0.652 0.869
5 Cl 0.652 0.651 0.131
6 Cl 0.349 0.348 0.369
7 Cl 0.651 0.652 0.631
8 Cl 0.651 0.998 0.869
9 Cl 0.348 0.349 0.869
10 Cl 0.998 0.651 0.369
11 Cl 0.652 0.002 0.369
12 Cl 0.349 0.002 0.131
13 Li 0.000 0.000 0.000
14 Li 0.000 0.000 0.500
15 Mg 0.667 0.333 0.750
16 Mg 0.333 0.667 0.250
17 Sc 0.333 0.667 0.750
18 Sc 0.667 0.333 0.250



(3)
The following is a DFT calculation (GGA-PBE) of crystalline CrN at its relaxed geometry.

Properties
ΔE_f (raw)	-0.35	eV per atom
DFT total energy	-18.645	eV per cell
crystal system	cubic
symmetry	Fm-3m
total magnetization	1.262	μB per atom

a b c (Å): 2.936 2.935 2.936
angles (deg): 60.01 90.07 60.01
Each line ends with the local moment (μB).
Atoms (fractional coordinates):
1 Cr 0.129 0.997 0.380  2.46
2 N 0.629 0.997 0.880  -0.04



(4)
The following is a DFT calculation (GGA-PBE) of crystalline CrRePb2 at its relaxed geometry.

Properties
DFT total energy	-46.554	eV per cell
offset from the most stable computed form	1144	meV/atom
energy relative to the elements	1.553	eV per atom
crystal system	tetragonal
symmetry	I-42d
total magnetization	0.379	μB per atom

a b c (Å): 7.660 7.660 6.153
angles (deg): 51.51 51.51 90.00
Each line ends with the local moment (μB).
Atoms (fractional coordinates):
1 Cr 0.500 0.500 0.000  -0.01
2 Cr 0.250 0.750 0.500  -0.02
3 Pb 0.875 0.868 0.750  0.00
4 Pb 0.618 0.125 0.250  -0.01
5 Pb 0.132 0.625 0.250  0.00
6 Pb 0.375 0.382 0.750  -0.01
7 Re 0.750 0.250 0.500  1.35
8 Re 0.000 0.000 0.000  1.35



(5)
The following is a DFT calculation (GGA-PBE) of crystalline MnAlSn2W at its relaxed geometry.

Properties
DFT total energy	-28.339	eV per cell
energy relative to the elements	1.106	eV per atom
crystal system	tetragonal
symmetry	P4/mmm
total magnetization	1.042	μB per atom

a b c (Å): 4.933 4.566 4.933
angles (deg): 90.00 90.00 90.00
Each line ends with the local moment (μB).
Atoms (fractional coordinates):
1 Sn 0.500 0.000 0.000  -0.06
2 Sn 0.000 0.000 0.500  -0.06
3 W 0.500 0.500 0.500  2.80
4 Mn 0.000 0.000 0.000  1.69
5 Al 0.000 0.500 0.000  -0.04



(6)
The following is a DFT calculation (GGA-PBE) of crystalline Na4Er3ScSe8 at its relaxed geometry.

Properties
ΔE_f (raw)	-1.67	eV per atom
DFT total energy	-79.897	eV per cell
crystal system	trigonal
symmetry	R-3m
total magnetization	0.000	μB per atom

a b c (Å): 8.143 8.429 8.145
angles (deg): 118.92 119.99 90.00
Atoms (fractional coordinates):
1 Se 0.763 0.276 0.526
2 Se 0.763 0.276 0.013
3 Se 0.750 0.724 0.987
4 Se 0.237 0.724 0.987
5 Se 0.257 0.271 0.514
6 Se 0.743 0.729 0.486
7 Se 0.250 0.276 0.013
8 Se 0.237 0.724 0.474
9 Sc 0.000 0.500 0.000
10 Na 0.000 0.000 0.500
11 Na 0.500 0.000 0.500
12 Na 0.500 0.000 0.000
13 Na 0.000 0.000 0.000
14 Er 0.000 0.500 0.500
15 Er 0.500 0.500 0.500
16 Er 0.500 0.500 0.000



(7)
The following is a DFT calculation (GGA-PBE) of crystalline Pr3Nd2Tm7 at its relaxed geometry.

Properties
DFT total energy	-54.029	eV per cell
offset from the most stable computed form	6	meV/atom
energy relative to the elements	0.095	eV per atom
crystal system	monoclinic
symmetry	P2/m
total magnetization	0.000	μB per atom

a b c (Å): 3.537 6.357 17.996
angles (deg): 75.78 90.00 90.00
Atoms (fractional coordinates):
1 Tm 0.000 0.000 0.000
2 Tm 0.500 0.061 0.164
3 Tm 0.500 0.247 0.499
4 Tm 0.000 0.434 0.837
5 Tm 0.500 0.753 0.501
6 Tm 0.000 0.566 0.163
7 Tm 0.500 0.939 0.836
8 Pr 0.500 0.500 0.000
9 Pr 0.000 0.116 0.341
10 Pr 0.000 0.884 0.659
11 Nd 0.500 0.378 0.675
12 Nd 0.500 0.622 0.325



(8)
The following is a DFT calculation (GGA-PBE) of crystalline CsInAs2H at its relaxed geometry.

Properties
DFT total energy	-14.112	eV per cell
crystal system	tetragonal
symmetry	P4/mmm
total magnetization	0.000	μB per atom

a b c (Å): 4.704 5.375 4.704
angles (deg): 90.00 90.00 90.00
Atoms (fractional coordinates):
1 Cs 0.000 0.500 0.000
2 As 0.500 0.000 0.000
3 As 0.000 0.000 0.500
4 H 0.000 0.000 0.000
5 In 0.500 0.500 0.500



(9)
The following is a DFT calculation (GGA-PBE) of crystalline La5GaCo at its relaxed geometry.

Properties
DFT total energy	-71.730	eV per cell
energy relative to the elements	-0.156	eV per atom
crystal system	monoclinic
symmetry	C2/c
total magnetization	0.000	μB per atom

a b c (Å): 6.306 6.306 11.638
angles (deg): 76.99 76.99 70.47
Atoms (fractional coordinates):
1 La 0.965 0.035 0.750
2 La 0.420 0.790 0.957
3 La 0.790 0.420 0.457
4 La 0.035 0.965 0.250
5 La 0.028 0.445 0.860
6 La 0.210 0.580 0.543
7 La 0.445 0.028 0.360
8 La 0.555 0.972 0.640
9 La 0.972 0.555 0.140
10 La 0.580 0.210 0.043
11 Co 0.000 0.000 0.000
12 Co 0.000 0.000 0.500
13 Ga 0.535 0.465 0.750
14 Ga 0.465 0.535 0.250



(10)
The following is a DFT calculation (GGA-PBE) of crystalline Ba2Cd3SbAu12 at its relaxed geometry.

Properties
ΔE_f (raw)	-0.12	eV per atom
DFT total energy	-52.129	eV per cell
crystal system	trigonal
symmetry	R-3m
total magnetization	0.000	μB per atom

a b c (Å): 8.981 8.981 8.981
angles (deg): 61.28 61.28 61.28
Atoms (fractional coordinates):
1 Au 0.122 0.122 0.645
2 Au 0.645 0.122 0.122
3 Au 0.359 0.003 0.359
4 Au 0.997 0.641 0.641
5 Au 0.122 0.645 0.122
6 Au 0.355 0.878 0.878
7 Au 0.003 0.359 0.359
8 Au 0.641 0.641 0.997
9 Au 0.878 0.878 0.355
10 Au 0.359 0.359 0.003
11 Au 0.641 0.997 0.641
12 Au 0.878 0.355 0.878
13 Ba 0.385 0.385 0.385
14 Ba 0.615 0.615 0.615
15 Cd 0.500 0.000 0.000
16 Cd 0.000 0.500 0.000
17 Cd 0.000 0.000 0.500
18 Sb 0.000 0.000 0.000



(11)
The following is a DFT calculation (GGA-PBE) of crystalline Tb4GaHgN at its relaxed geometry.

Properties
ΔE_f (raw)	-0.76	eV per atom
DFT total energy	-70.982	eV per cell
crystal system	orthorhombic
symmetry	Cmcm
total magnetization	0.000	μB per atom

a b c (Å): 6.825 6.826 8.063
angles (deg): 90.00 115.04 90.00
Atoms (fractional coordinates):
1 Tb 0.922 0.250 0.844
2 Tb 0.500 0.500 0.500
3 Tb 0.000 0.000 0.500
4 Tb 0.419 0.750 0.839
5 Tb 0.078 0.750 0.156
6 Tb 0.000 0.500 0.500
7 Tb 0.500 0.000 0.500
8 Tb 0.581 0.250 0.161
9 Ga 0.125 0.250 0.251
10 Ga 0.875 0.750 0.749
11 N 0.752 0.250 0.505
12 N 0.248 0.750 0.495
13 Hg 0.381 0.250 0.763
14 Hg 0.619 0.750 0.237